# 1
# MnSb2Rh, optimized geometry, DFT PBE
data_MnSb2Rh
_chemical_formula_sum 'Mn2 Sb4 Rh2'
_cell_length_a 7.997
_cell_length_b 3.598
_cell_length_c 5.716
_cell_angle_alpha 90.00
_cell_angle_beta 104.17
_cell_angle_gamma 90.00
_symmetry_space_group_name_H-M 'C 1 2/m 1'
_symmetry_Int_Tables_number 12
loop_
_symmetry_equiv_pos_as_xyz
'x,y,z'
'-x,-y,-z'
'-x,y,-z'
'x,-y,z'
'x+1/2,y+1/2,z'
'-x+1/2,-y+1/2,-z'
'-x+1/2,y+1/2,-z'
'x+1/2,-y+1/2,z'
loop_
_atom_site_label
_atom_site_type_symbol
_atom_site_fract_x
_atom_site_fract_y
_atom_site_fract_z
Mn1 Mn 0.000 0.000 0.000
Sb1 Sb 0.242 0.000 0.738
Rh1 Rh 0.000 0.500 0.500
# Energy relative to the lowest polymorph listed for this composition ... 0.149 eV/atom
# Fermi-level density of states ... 4.6 states/eV per cell
# Formation energy from raw total energies ... 0.04 eV/f.u.

=====

# 2
# ScTlRu2, optimized geometry, DFT PBE
data_ScTlRu2
_chemical_formula_sum 'Sc1 Tl1 Ru2'
_cell_length_a 4.505
_cell_length_b 4.505
_cell_length_c 3.370
_cell_angle_alpha 90.00
_cell_angle_beta 90.00
_cell_angle_gamma 90.00
_symmetry_space_group_name_H-M 'P 4/m m m'
_symmetry_Int_Tables_number 123
_symmetry_space_group_name_Hall '-P 4 2'
loop_
_atom_site_label
_atom_site_type_symbol
_atom_site_fract_x
_atom_site_fract_y
_atom_site_fract_z
Sc1 Sc 0.000 0.000 0.000
Tl1 Tl 0.500 0.500 0.000
Ru1 Ru 0.000 0.500 0.500
# Fermi-level density of states ... 5.2 states/eV per cell
# Formation energy from the elements ... -0.039 eV/atom

=====

# 3
# BaCaS2O6, optimized geometry, DFT PBE
data_BaCaS2O6
_chemical_formula_sum 'Ba3 Ca3 S6 O18'
_cell_length_a 5.3429
_cell_length_b 5.3429
_cell_length_c 20.4186
_cell_angle_alpha 90.00
_cell_angle_beta 90.00
_cell_angle_gamma 120.00
_symmetry_space_group_name_H-M 'R -3'
_symmetry_Int_Tables_number 148
_symmetry_space_group_name_Hall '-R 3'
loop_
_atom_site_label
_atom_site_type_symbol
_atom_site_fract_x
_atom_site_fract_y
_atom_site_fract_z
Ba1 Ba 0.0000 0.0000 0.0000
Ca1 Ca 0.0000 0.0000 0.5000
S1 S 0.0000 0.0000 0.2656
O1 O 0.0187 0.2763 0.2376
# Fermi-level density of states ... 0.0 states/eV per cell
# Formation energy from raw total energies ... -20.75 eV/f.u.

=====

> Which of these has the lowest Fermi-level density of states?

BaCaS2O6

=====

> Which of these has the highest Fermi-level density of states?

ScTlRu2

=====

> What is the Fermi-level density of states in the third record?

0.0 states/eV per cell